# BaYPb

A relaxed BaYPb crystal (PBEsol, Alexandria).

Properties
formation energy = 38.6 kJ per mole of atoms

The structure in CIF format:
```
data_BaYPb
_chemical_formula_sum 'Ba1 Y1 Pb1'
_cell_length_a 5.469
_cell_length_b 5.469
_cell_length_c 5.469
_cell_angle_alpha 60.00
_cell_angle_beta 60.00
_cell_angle_gamma 60.00
_space_group_name_H-M_alt 'P 1'
_space_group_IT_number 1
loop_
_space_group_symop_operation_xyz
'x,y,z'
loop_
_atom_site_label
_atom_site_fract_x
_atom_site_fract_y
_atom_site_fract_z
Ba1 0.250 0.250 0.250
Y1 0.500 0.500 0.500
Pb1 0.000 0.000 0.000
```